[1]
The following is a PBE calculation of a relaxed Ac3CuAg4O8 crystal, from Alexandria.

abc: 7.1294 6.6063 7.8309
angles: 120.32 117.08 90.00
Positions (direct):
O (0.1477, 0.6440, 0.9202)
Ag (0.0000, 0.0000, 0.0000)
O (0.7726, 0.6440, 0.9202)
Ac (0.5000, 0.5000, 0.5000)
O (0.3187, 0.8153, 0.6375)
Ag (0.0000, 0.0000, 0.5000)
O (0.6813, 0.1847, 0.3625)
Cu (0.0000, 0.5000, 0.0000)
Ac (0.0000, 0.5000, 0.5000)
Ag (0.5000, 0.0000, 0.5000)
O (0.8523, 0.3560, 0.0798)
O (0.2806, 0.2711, 0.5612)
Ac (0.5000, 0.5000, 0.0000)
O (0.2274, 0.3560, 0.0798)
O (0.7194, 0.7289, 0.4388)
Ag (0.5000, 0.0000, 0.0000)

Properties
D(E_F) = 0.34 states/eV/f.u.
E_form (uncorrected) = -1.52 eV per atom


[2]
The following is a PBE calculation of a relaxed K2Y crystal, from Alexandria.

abc: 7.2842 7.2842 7.2842
angles: 150.89 125.54 62.94
Site moments in Bohr magnetons follow the coordinates.
Positions (direct):
K (0.6633, 0.6633, 0.0000)  0.01
Y (0.0000, 0.0000, 0.0000)  0.32
K (0.3367, 0.3367, 0.0000)  0.01

Properties
D(E_F) = 2.86 states/eV/f.u.


[3]
The following is a PBE calculation of a relaxed Be3ZnRe crystal, from Alexandria.

abc: 3.9370 3.9370 3.9370
angles: 90.00 90.00 90.00
Site moments in Bohr magnetons follow the coordinates.
Positions (direct):
Be (0.0000, 0.5000, 0.0000)  -0.01
Re (0.5000, 0.5000, 0.5000)  1.10
Be (0.0000, 0.0000, 0.5000)  -0.03
Zn (0.0000, 0.0000, 0.0000)  -0.01
Be (0.5000, 0.0000, 0.0000)  -0.01

Properties
D(E_F) = 2.36 states/eV/f.u.
E above lowest polymorph = 31 meV per atom


Number 1: total energy -0.2110 hartree per atom. Number 2: total energy -0.0857 hartree per atom. Number 3: total energy -0.1410 hartree per atom.